Compound: Ni3Te8Ir
Source: Alexandria
Functional: PBE-GGA
Structure: optimized geometry

Values from the calculation:
The raw formation energy comes out at -0.233 eV per atom. Its symmetry is C2/m. The mass density comes out at 8062 kg/m³. As for the density of states at the Fermi level: 0.451 states/eV per atom.

a b c (Å): 7.8574 7.8694 8.6788
angles (deg): 133.08 90.00 119.95
With the nearest neighbours (Å) after each atom.
Positions (direct):
Te 0.7880 0.0836 0.2504  2 Ni 2.61-2.63, 1 Ir 2.66
Te 0.2956 0.0836 0.2504  2 Ni 2.61-2.63, 1 Ir 2.66
Te 0.7044 0.9164 0.7496  2 Ni 2.61-2.63, 1 Ir 2.66
Te 0.7852 0.5705 0.2378  3 Ni 2.60
Te 0.2120 0.9164 0.7496  2 Ni 2.61-2.63, 1 Ir 2.66
Te 0.2909 0.5819 0.2415  2 Ni 2.59, 1 Ir 2.65
Te 0.7091 0.4181 0.7585  2 Ni 2.59, 1 Ir 2.65
Te 0.2148 0.4295 0.7622  3 Ni 2.60
Ni 0.5000 0.0000 0.0000  6 Te 2.60-2.61
Ni 0.0000 0.5000 0.0000  6 Te 2.59-2.63
Ni 0.5000 0.5000 0.0000  6 Te 2.59-2.63
Ir 0.0000 0.0000 0.0000  6 Te 2.65-2.66

Compound: Sm2TaAl2Ru5
Source: Alexandria
Functional: PBE-GGA
Structure: optimized geometry

Values from the calculation:
Its symmetry is P4/mbm. The mass density comes out at 10012 kg/m³. As for the density of states at the Fermi level: 0.788 states/eV per atom. The value obtained for the energy of formation from the pure elements is -0.409 eV per atom.

a b c (Å): 3.2972 10.2336 10.2336
angles (deg): 90.00 90.00 90.00
With the nearest neighbours (Å) after each atom.
Positions (direct):
Ru 0.5000 0.6991 0.4345  2 Al 2.51, 2 Ta 2.71
Ru 0.5000 0.1991 0.0655  2 Al 2.51, 2 Ta 2.71
Ru 0.5000 0.0655 0.8009  2 Al 2.51, 2 Ta 2.71
Ru 0.5000 0.9345 0.1991  2 Al 2.51, 2 Ta 2.71
Ru 0.5000 0.4345 0.3009  2 Al 2.51, 2 Ta 2.71
Ru 0.5000 0.5655 0.6991  2 Al 2.51, 2 Ta 2.71
Ru 0.5000 0.0000 0.5000  4 Al 2.46
Ru 0.5000 0.3009 0.5655  2 Al 2.51, 2 Ta 2.71
Ru 0.5000 0.8009 0.9345  2 Al 2.51, 2 Ta 2.71
Ru 0.5000 0.5000 0.0000  4 Al 2.46
Sm 0.0000 0.8277 0.6723  3 Al 2.92-3.09, 10 Ru 2.99-3.22
Sm 0.0000 0.3277 0.8277  3 Al 2.92-3.09, 10 Ru 2.99-3.22
Sm 0.0000 0.1723 0.3277  3 Al 2.92-3.09, 10 Ru 2.99-3.22
Sm 0.0000 0.6723 0.1723  3 Al 2.92-3.09, 10 Ru 2.99-3.22
Ta 0.0000 0.0000 0.0000  8 Ru 2.71
Ta 0.0000 0.5000 0.5000  8 Ru 2.71
Al 0.0000 0.1263 0.6263  6 Ru 2.46-2.51
Al 0.0000 0.8737 0.3737  6 Ru 2.46-2.51
Al 0.0000 0.6263 0.8737  6 Ru 2.46-2.51
Al 0.0000 0.3737 0.1263  6 Ru 2.46-2.51

Compound: Sm2TmScSe5
Source: Alexandria
Functional: PBE-GGA
Structure: optimized geometry

Values from the calculation:
The raw formation energy comes out at -1.199 eV per atom. Its symmetry is P4/mmm. The mass density comes out at 5678 kg/m³. As for the density of states at the Fermi level: 0.731 states/eV per atom.

a b c (Å): 5.0765 5.0765 10.3198
angles (deg): 90.00 90.00 90.00
With the nearest neighbours (Å) after each atom.
Positions (direct):
Se 0.5000 0.5000 0.0000  2 Sm 3.01
Se 0.5000 0.0000 0.5000  2 Tm 2.54
Se 0.0000 0.0000 0.2388  1 Sc 2.46, 1 Tm 2.70
Se 0.0000 0.5000 0.5000  2 Tm 2.54
Se 0.0000 0.0000 0.7612  1 Sc 2.46, 1 Tm 2.70
Sc 0.0000 0.0000 0.0000  2 Se 2.46
Sm 0.5000 0.5000 0.2917  5 Se 3.01-3.33
Sm 0.5000 0.5000 0.7083  5 Se 3.01-3.33
Tm 0.0000 0.0000 0.5000  6 Se 2.54-2.70

Compound: CaBe17Rh
Source: Alexandria
Functional: PBE-GGA
Structure: optimized geometry

Values from the calculation:
Its symmetry is R3m. The mass density comes out at 2779 kg/m³. As for the density of states at the Fermi level: 0.245 states/eV per atom. The value obtained for the energy of formation from the pure elements is -0.050 eV per atom.

a b c (Å): 5.6532 5.6532 5.6532
angles (deg): 83.04 83.04 83.04
With the nearest neighbours (Å) after each atom.
Positions (direct):
Be 0.3384 0.8681 0.3384  9 Be 2.14-2.29
Be 0.8681 0.3384 0.3384  9 Be 2.14-2.29
Be 0.0993 0.0993 0.0993  7 Be 2.11-2.33
Be 0.0086 0.7056 0.2890  8 Be 2.10-2.30
Be 0.1638 0.6513 0.6513  9 Be 2.17-2.40
Be 0.7056 0.0086 0.2890  8 Be 2.10-2.30
Be 0.9955 0.9955 0.5078  10 Be 2.12-2.33
Be 0.6513 0.1638 0.6513  9 Be 2.17-2.40
Be 0.9056 0.9056 0.9056  4 Be 2.11-2.25
Be 0.2890 0.7056 0.0086  8 Be 2.10-2.30
Be 0.9955 0.5078 0.9955  10 Be 2.12-2.33
Be 0.0086 0.2890 0.7056  8 Be 2.10-2.30
Be 0.2890 0.0086 0.7056  8 Be 2.10-2.30
Be 0.6513 0.6513 0.1638  9 Be 2.17-2.40
Be 0.3384 0.3384 0.8681  9 Be 2.14-2.29
Be 0.5078 0.9955 0.9955  10 Be 2.12-2.33
Be 0.7056 0.2890 0.0086  8 Be 2.10-2.30
Rh 0.3227 0.3227 0.3227  10 Be 2.44-2.63
Ca 0.6558 0.6558 0.6558  19 Be 2.71-2.87

Compound: TlPIrCl2
Source: Alexandria
Functional: PBE-GGA
Structure: optimized geometry

Values from the calculation:
The raw formation energy comes out at -0.117 eV per atom. Its symmetry is P4/mmm. The mass density comes out at 6766 kg/m³. As for the density of states at the Fermi level: 0.328 states/eV per atom.

a b c (Å): 5.2606 5.2606 4.4208
angles (deg): 90.00 90.00 90.00
With the nearest neighbours (Å) after each atom.
Positions (direct):
Cl 0.0000 0.5000 0.0000  2 Ir 2.63
Cl 0.5000 0.0000 0.0000  2 Ir 2.63
P 0.0000 0.0000 0.5000  2 Ir 2.21
Tl 0.5000 0.5000 0.5000  8 Cl 3.44, 4 P 3.72
Ir 0.0000 0.0000 0.0000  2 P 2.21

Compound: VNi4Mo
Source: Alexandria
Functional: PBE-GGA
Structure: optimized geometry

Values from the calculation:
Its symmetry is F-43m. The mass density comes out at 8743 kg/m³. As for the density of states at the Fermi level: 1.527 states/eV per atom. The value obtained for the energy of formation from the pure elements is -0.020 eV per atom.

a b c (Å): 4.6801 4.6801 4.6801
angles (deg): 60.00 60.00 60.00
With the nearest neighbours (Å) after each atom.
Positions (direct):
Mo 0.2500 0.2500 0.2500  12 Ni 2.74, 4 V 2.87
Ni 0.1250 0.6250 0.6250  6 Ni 2.34
Ni 0.6250 0.6250 0.6250  6 Ni 2.34
Ni 0.6250 0.1250 0.6250  6 Ni 2.34
Ni 0.6250 0.6250 0.1250  6 Ni 2.34
V 0.0000 0.0000 0.0000  12 Ni 2.74, 4 Mo 2.87

Compound: ZnSn2Hg
Source: Alexandria
Functional: PBE-GGA
Structure: optimized geometry

Values from the calculation:
Its symmetry is P4/mmm. The mass density comes out at 8640 kg/m³. As for the density of states at the Fermi level: 0.441 states/eV per atom. The value obtained for the energy of formation from the pure elements is 0.136 eV per atom.

a b c (Å): 4.3430 4.7201 4.7201
angles (deg): 90.00 90.00 90.00
With the nearest neighbours (Å) after each atom.
Positions (direct):
Sn 0.0000 0.5000 0.0000  4 Hg 3.21, 4 Zn 3.21, 4 Sn 3.34
Sn 0.0000 0.0000 0.5000  4 Hg 3.21, 4 Zn 3.21, 4 Sn 3.34
Hg 0.5000 0.5000 0.5000  8 Sn 3.21, 4 Zn 3.34
Zn 0.5000 0.0000 0.0000  8 Sn 3.21, 4 Hg 3.34

Compound: AcNd8Tl2
Source: Alexandria
Functional: PBE-GGA
Structure: optimized geometry

Values from the calculation:
Its symmetry is C2/m. The mass density comes out at 7704 kg/m³. As for the density of states at the Fermi level: 1.203 states/eV per atom. The value obtained for the energy of formation from the pure elements is -0.026 eV per atom.

a b c (Å): 5.9676 9.0348 9.0348
angles (deg): 119.47 102.09 102.09
With the nearest neighbours (Å) after each atom.
Positions (direct):
Tl 0.0000 0.6917 0.3083  8 Nd 3.23-3.44
Tl 0.0000 0.3083 0.6917  8 Nd 3.23-3.44
Nd 0.1205 0.3193 0.0872  2 Tl 3.29-3.44, 4 Nd 3.37-3.66
Nd 0.7068 0.4160 0.4160  2 Nd 3.18-3.40, 2 Tl 3.39, 1 Ac 3.46
Nd 0.8795 0.9128 0.6807  2 Tl 3.29-3.44, 4 Nd 3.37-3.66
Nd 0.1205 0.0872 0.3193  2 Tl 3.29-3.44, 4 Nd 3.37-3.66
Nd 0.2932 0.5840 0.5840  2 Nd 3.18-3.40, 2 Tl 3.39, 1 Ac 3.46
Nd 0.8795 0.6807 0.9128  2 Tl 3.29-3.44, 4 Nd 3.37-3.66
Nd 0.5000 0.7717 0.2283  2 Tl 3.23, 1 Ac 3.56
Nd 0.5000 0.2283 0.7717  2 Tl 3.23, 1 Ac 3.56
Ac 0.5000 0.0000 0.0000  8 Nd 3.46-3.84

Compound: Sc2AlFe5Ge2
Source: Alexandria
Functional: PBE-GGA
Structure: optimized geometry

Values from the calculation:
Its symmetry is P4/mbm. The mass density comes out at 6293 kg/m³. As for the density of states at the Fermi level: 1.103 states/eV per atom. The value obtained for the energy of formation from the pure elements is -0.214 eV per atom.

a b c (Å): 3.4914 9.0463 9.0463
angles (deg): 90.00 90.00 90.00
With the nearest neighbours (Å) after each atom.
Positions (direct):
Fe 0.5000 0.9378 0.1991  2 Ge 2.43, 2 Al 2.57, 2 Fe 2.67
Fe 0.5000 0.0622 0.8009  2 Ge 2.43, 2 Al 2.57, 2 Fe 2.67
Fe 0.5000 0.5622 0.6991  2 Ge 2.43, 2 Al 2.57, 2 Fe 2.67
Fe 0.5000 0.4378 0.3009  2 Ge 2.43, 2 Al 2.57, 2 Fe 2.67
Fe 0.5000 0.1991 0.0622  2 Ge 2.43, 2 Al 2.57, 2 Fe 2.67
Fe 0.5000 0.0000 0.5000  4 Ge 2.37
Fe 0.5000 0.8009 0.9378  2 Ge 2.43, 2 Al 2.57, 2 Fe 2.67
Fe 0.5000 0.5000 0.0000  4 Ge 2.37
Fe 0.5000 0.3009 0.5622  2 Ge 2.43, 2 Al 2.57, 2 Fe 2.67
Fe 0.5000 0.6991 0.4378  2 Ge 2.43, 2 Al 2.57, 2 Fe 2.67
Sc 0.0000 0.1713 0.3287  3 Ge 2.60-2.72, 2 Fe 2.80
Sc 0.0000 0.8287 0.6713  3 Ge 2.60-2.72, 2 Fe 2.80
Sc 0.0000 0.6713 0.1713  3 Ge 2.60-2.72, 2 Fe 2.80
Sc 0.0000 0.3287 0.8287  3 Ge 2.60-2.72, 2 Fe 2.80
Ge 0.0000 0.8744 0.3744  6 Fe 2.37-2.43, 1 Sc 2.60
Ge 0.0000 0.6256 0.8744  6 Fe 2.37-2.43, 1 Sc 2.60
Ge 0.0000 0.3744 0.1256  6 Fe 2.37-2.43, 1 Sc 2.60
Ge 0.0000 0.1256 0.6256  6 Fe 2.37-2.43, 1 Sc 2.60
Al 0.0000 0.5000 0.5000  8 Fe 2.57
Al 0.0000 0.0000 0.0000  8 Fe 2.57

Compound: TiReSN2
Source: Alexandria
Functional: PBE-GGA
Structure: optimized geometry

Values from the calculation:
The raw formation energy comes out at 0.931 eV per atom. Its symmetry is P4/mmm. The mass density comes out at 6668 kg/m³. As for the density of states at the Fermi level: 0.420 states/eV per atom.

a b c (Å): 3.8279 3.8279 4.9997
angles (deg): 90.00 90.00 90.00
With the nearest neighbours (Å) after each atom.
Positions (direct):
Re 0.5000 0.5000 0.5000  4 S 2.71
Ti 0.0000 0.0000 0.0000  4 N 1.91
N 0.0000 0.5000 0.0000  2 Ti 1.91
N 0.5000 0.0000 0.0000  2 Ti 1.91
S 0.0000 0.0000 0.5000  2 Ti 2.50, 4 Re 2.71

Compound: LiCd2SiRh
Source: Alexandria
Functional: PBE-GGA
Structure: optimized geometry

Values from the calculation:
The raw formation energy comes out at 0.633 eV per atom. Its symmetry is P4/mmm. The mass density comes out at 6742 kg/m³. As for the density of states at the Fermi level: 0.530 states/eV per atom.

a b c (Å): 4.5644 4.2884 4.5644
angles (deg): 90.00 90.00 90.00
With the nearest neighbours (Å) after each atom.
Positions (direct):
Rh 0.5000 0.5000 0.5000  8 Cd 3.13, 4 Si 3.23
Cd 0.5000 0.0000 0.0000  2 Li 2.28
Cd 0.0000 0.0000 0.5000  2 Li 2.28
Si 0.0000 0.5000 0.0000  2 Li 2.14
Li 0.0000 0.0000 0.0000  2 Si 2.14, 4 Cd 2.28

Compound: NdSmAg
Source: Alexandria
Functional: PBE-GGA
Structure: optimized geometry

Values from the calculation:
Its symmetry is P4/nmm. The mass density comes out at 7486 kg/m³. As for the density of states at the Fermi level: 1.384 states/eV per atom. The value obtained for the energy of formation from the pure elements is -0.065 eV per atom.

a b c (Å): 4.7427 4.7427 7.9386
angles (deg): 90.00 90.00 90.00
With the nearest neighbours (Å) after each atom.
Positions (direct):
Sm 0.5000 0.0000 0.1326  1 Ag 2.92
Sm 0.0000 0.5000 0.8674  1 Ag 2.92
Ag 0.5000 0.0000 0.7652  1 Sm 2.92, 4 Nd 3.17
Ag 0.0000 0.5000 0.2348  1 Sm 2.92, 4 Nd 3.17
Nd 0.0000 0.0000 0.5000  4 Ag 3.17, 4 Nd 3.35
Nd 0.5000 0.5000 0.5000  4 Ag 3.17, 4 Nd 3.35